# 1
First-principles (GGA-PBE) data for crystalline CdSbIO6 at its relaxed geometry, as listed in Alexandria via LeMat-Bulk.

a = 5.486 Å, b = 5.486 Å, c = 9.752 Å
α = 90.00°, β = 90.00°, γ = 120.00°
Fractional coordinates of all 18 atoms:
1 Cd 0.000 0.000 0.000
2 Cd 0.000 0.000 0.500
3 Sb 0.333 0.667 0.250
4 Sb 0.667 0.333 0.750
5 I 0.333 0.667 0.750
6 I 0.667 0.333 0.250
7 O 0.014 0.369 0.137
8 O 0.014 0.645 0.363
9 O 0.355 0.369 0.363
10 O 0.355 0.986 0.137
11 O 0.369 0.014 0.637
12 O 0.369 0.355 0.863
13 O 0.631 0.645 0.137
14 O 0.631 0.986 0.363
15 O 0.645 0.014 0.863
16 O 0.645 0.631 0.637
17 O 0.986 0.355 0.637
18 O 0.986 0.631 0.863

Calculated values
total energy	-4.87	eV per atom

# 2
First-principles (GGA-PBE) data for crystalline Pm2PaSi3Ir4 at its relaxed geometry, as listed in Alexandria via LeMat-Bulk.

a = 4.203 Å, b = 4.203 Å, c = 10.810 Å
α = 90.00°, β = 90.00°, γ = 90.00°
Fractional coordinates of all 10 atoms:
1 Pm 0.000 0.500 0.226
2 Pm 0.500 0.000 0.774
3 Pa 0.000 0.000 0.500
4 Si 0.000 0.500 0.881
5 Si 0.500 0.000 0.119
6 Si 0.500 0.500 0.500
7 Ir 0.000 0.000 0.000
8 Ir 0.000 0.500 0.656
9 Ir 0.500 0.000 0.344
10 Ir 0.500 0.500 0.000

Calculated values
total energy	-8.00	eV per atom

# 3
First-principles (GGA-PBE) data for crystalline Ac8RuPt3I4 at its relaxed geometry, as listed in Alexandria via LeMat-Bulk.

a = 8.889 Å, b = 8.889 Å, c = 10.047 Å
α = 116.31°, β = 116.31°, γ = 60.00°
Fractional coordinates of all 16 atoms:
1 Ac 0.224 0.224 0.685
2 Ac 0.224 0.737 0.685
3 Ac 0.263 0.776 0.315
4 Ac 0.271 0.271 0.313
5 Ac 0.729 0.729 0.687
6 Ac 0.737 0.224 0.685
7 Ac 0.776 0.263 0.315
8 Ac 0.776 0.776 0.315
9 Ru 0.000 0.000 0.500
10 Pt 0.000 0.500 0.500
11 Pt 0.500 0.000 0.500
12 Pt 0.500 0.500 0.500
13 I 0.000 0.000 0.000
14 I 0.000 0.500 0.000
15 I 0.500 0.000 0.000
16 I 0.500 0.500 0.000

Calculated values
total energy	-5.27	eV per atom

# 4
First-principles (GGA-PBE) data for crystalline LuHfZnCu at its relaxed geometry, as listed in Alexandria via LeMat-Bulk.

a = 4.747 Å, b = 4.747 Å, c = 4.747 Å
α = 60.00°, β = 60.00°, γ = 60.00°
Fractional coordinates of all 4 atoms:
1 Lu 0.000 0.000 0.000
2 Hf 0.500 0.500 0.500
3 Zn 0.250 0.250 0.250
4 Cu 0.750 0.750 0.750

Calculated values
total energy	-5.12	eV per atom